SmAl2CuAu4 | GGA-PBE | optimized geometry

Computed properties:
crystal system: trigonal
energy of formation from the pure elements: -489 meV per atom

Lattice parameters (Å, degrees): 9.1846 9.1846 9.1846 27.91 27.91 27.91
Sites, in units of the cell vectors:
Sm 0.0000 0.0000 0.0000
Al 0.2380 0.2380 0.2380
Al 0.7620 0.7620 0.7620
Cu 0.5000 0.5000 0.5000
Au 0.1325 0.1325 0.1325
Au 0.3982 0.3982 0.3982
Au 0.6018 0.6018 0.6018
Au 0.8675 0.8675 0.8675

Sm2Al4Cu3Au | GGA-PBE | optimized geometry

Computed properties:
crystal system: tetragonal
energy of formation from the pure elements: -493 meV per atom

Lattice parameters (Å, degrees): 4.2412 4.2412 10.2637 90.00 90.00 90.00
Sites, in units of the cell vectors:
Sm 0.0000 0.5000 0.2480
Sm 0.5000 0.0000 0.7520
Al 0.0000 0.0000 0.0000
Al 0.0000 0.5000 0.6377
Al 0.5000 0.0000 0.3623
Al 0.5000 0.5000 0.0000
Cu 0.0000 0.5000 0.8722
Cu 0.5000 0.0000 0.1278
Cu 0.5000 0.5000 0.5000
Au 0.0000 0.0000 0.5000

Computed magnetic moment, in the same sequence as the records: 0.0000; 0.0000 μB/atom.
Computed raw total energy, in the same sequence as the records: -33.32; -44.90 eV/f.u..